1.
Below is a relaxed structure of HgRhSe, with properties calculated at the PBE-GGA level.

Cell lengths 3.4087, 3.4087, 6.1529 Å; angles 90.00, 90.00, 120.00 degrees
With the nearest neighbours (Å) after each atom.
Sites, in units of the cell vectors:
Hg 0.0000 0.0000 0.0263  3 Rh 2.90
Rh 0.6667 0.3333 0.3735  3 Se 2.41
Se 0.3333 0.6667 0.6002  3 Rh 2.41

Its density of states at the Fermi level is 1.60 states/eV/f.u. The polymorph energy (0 for the lowest one) comes out at 0.000 eV per atom. As for the space group: No. 156. The value obtained for the total magnetization is 0.00 μB per cell.

2.
Below is a relaxed structure of HgRhSe2, with properties calculated at the PBE-GGA level.

Cell lengths 5.9571, 3.8871, 14.4995 Å; angles 90.00, 90.00, 90.00 degrees
With the nearest neighbours (Å) after each atom.
Sites, in units of the cell vectors:
Rh 0.0314 0.2500 0.6122  5 Se 2.50-2.76
Rh 0.4686 0.7500 0.1122  5 Se 2.50-2.76
Rh 0.9686 0.7500 0.3878  5 Se 2.50-2.76
Rh 0.5314 0.2500 0.8878  5 Se 2.50-2.76
Hg 0.3060 0.2500 0.3526  4 Se 2.81-3.09, 2 Rh 2.84
Hg 0.1940 0.7500 0.8526  4 Se 2.81-3.09, 2 Rh 2.84
Hg 0.6940 0.7500 0.6474  4 Se 2.81-3.09, 2 Rh 2.84
Hg 0.8060 0.2500 0.1474  4 Se 2.81-3.09, 2 Rh 2.84
Se 0.7896 0.2500 0.4677  3 Rh 2.50-2.54
Se 0.7104 0.7500 0.9677  3 Rh 2.50-2.54
Se 0.2104 0.7500 0.5323  3 Rh 2.50-2.54
Se 0.2896 0.2500 0.0323  3 Rh 2.50-2.54
Se 0.3862 0.2500 0.7070  2 Rh 2.52-2.76, 2 Hg 2.81
Se 0.1138 0.7500 0.2070  2 Rh 2.52-2.76, 2 Hg 2.81
Se 0.6138 0.7500 0.2930  2 Rh 2.52-2.76, 2 Hg 2.81
Se 0.8862 0.2500 0.7930  2 Rh 2.52-2.76, 2 Hg 2.81

Its density of states at the Fermi level is 1.95 states/eV/f.u. The calculation puts the final energy at -60.51 eV per cell. As for the space group: No. 62. The value obtained for the total magnetization is 0.00 μB per cell.

3.
Below is a relaxed structure of HgRhSe2, with properties calculated at the PBE-GGA level.

Cell lengths 5.4931, 5.4931, 5.4931 Å; angles 136.79, 136.79, 62.77 degrees
With the nearest neighbours (Å) after each atom.
Sites, in units of the cell vectors:
Hg 0.5000 0.5000 0.0000  8 Se 2.86-3.10, 4 Rh 3.10
Rh 0.7500 0.2500 0.5000  8 Se 2.86-3.10, 4 Hg 3.10
Se 0.0000 0.0000 0.0000  4 Hg 2.86, 4 Se 3.10, 4 Rh 3.10
Se 0.2500 0.7500 0.5000  4 Rh 2.86, 4 Hg 3.10, 4 Se 3.10

Its density of states at the Fermi level is 2.54 states/eV/f.u. The calculation puts the final energy at -12.94 eV per cell. As for the space group: No. 119. The value obtained for the total magnetization is 0.00 μB per cell.

4.
Below is a relaxed structure of HgRhSe2, with properties calculated at the PBE-GGA level.

Cell lengths 6.9011, 8.3655, 6.2844 Å; angles 90.00, 90.00, 90.00 degrees
With the nearest neighbours (Å) after each atom.
Sites, in units of the cell vectors:
Rh 0.1681 0.8752 0.9182  4 Se 2.42-2.51
Rh 0.8319 0.1248 0.4182  4 Se 2.42-2.51
Rh 0.3319 0.3752 0.4182  4 Se 2.42-2.51
Rh 0.6681 0.6248 0.9182  4 Se 2.42-2.51
Hg 0.1430 0.3859 0.0233  4 Se 2.76-3.02, 1 Rh 2.80
Hg 0.8570 0.6141 0.5233  4 Se 2.76-3.02, 1 Rh 2.80
Hg 0.3570 0.8859 0.5233  4 Se 2.76-3.02, 1 Rh 2.80
Hg 0.6430 0.1141 0.0233  4 Se 2.76-3.02, 1 Rh 2.80
Se 0.4747 0.8215 0.1045  2 Rh 2.42-2.46
Se 0.5253 0.1785 0.6045  2 Rh 2.42-2.46
Se 0.0253 0.3215 0.6045  2 Rh 2.42-2.46
Se 0.9747 0.6785 0.1045  2 Rh 2.42-2.46
Se 0.8660 0.9171 0.7039  2 Rh 2.51, 1 Hg 2.78
Se 0.1340 0.0829 0.2039  2 Rh 2.51, 1 Hg 2.78
Se 0.6340 0.4171 0.2039  2 Rh 2.51, 1 Hg 2.78
Se 0.3660 0.5829 0.7039  2 Rh 2.51, 1 Hg 2.78

Its density of states at the Fermi level is 2.18 states/eV/f.u. The calculation puts the final energy at -59.84 eV per cell. As for the space group: No. 33. The value obtained for the total magnetization is 0.00 μB per cell.

5.
Below is a relaxed structure of HgRhSe2, with properties calculated at the PBE-GGA level.

Cell lengths 6.8919, 6.8919, 5.8652 Å; angles 54.02, 54.02, 90.00 degrees
With the nearest neighbours (Å) after each atom.
Sites, in units of the cell vectors:
Rh 0.7500 0.7500 0.5000  8 Se 2.94, 2 Rh 3.26
Rh 0.2500 0.2500 0.5000  8 Se 2.94, 2 Rh 3.26
Hg 0.7500 0.2500 0.5000  4 Se 2.75
Hg 0.2500 0.7500 0.5000  4 Se 2.75
Se 0.7723 0.2723 0.0000  2 Hg 2.75, 4 Rh 2.94
Se 0.2277 0.7277 0.0000  2 Hg 2.75, 4 Rh 2.94
Se 0.2723 0.2277 0.0000  2 Hg 2.75, 4 Rh 2.94
Se 0.7277 0.7723 0.0000  2 Hg 2.75, 4 Rh 2.94

Its density of states at the Fermi level is 3.45 states/eV/f.u. The calculation puts the final energy at -26.37 eV per cell. As for the space group: No. 140. The value obtained for the total magnetization is 0.00 μB per cell.

6.
Below is a relaxed structure of HgRhSe2, with properties calculated at the PBE-GGA level.

Cell lengths 7.8863, 7.8863, 7.8863 Å; angles 26.72, 26.72, 26.72 degrees
With the nearest neighbours (Å) after each atom.
Sites, in units of the cell vectors:
Hg 0.4941 0.4941 0.4941  3 Se 2.74, 3 Rh 2.85
Rh 0.7430 0.7430 0.7430  3 Se 2.41
Se 0.0251 0.0251 0.0251  3 Rh 2.41
Se 0.2378 0.2378 0.2378  3 Hg 2.74

Its density of states at the Fermi level is 1.44 states/eV/f.u. The calculation puts the final energy at -14.82 eV per cell. As for the space group: No. 160. The value obtained for the total magnetization is 0.00 μB per cell.

7.
Below is a relaxed structure of HgRhSe2, with properties calculated at the PBE-GGA level.

Cell lengths 3.0212, 3.0212, 9.1602 Å; angles 90.00, 90.00, 90.00 degrees
With the nearest neighbours (Å) after each atom.
Sites, in units of the cell vectors:
Hg 0.0000 0.0000 0.5381  4 Hg 3.02, 4 Rh 3.08, 4 Se 3.34
Rh 0.5000 0.5000 0.7806  4 Se 2.51
Se 0.0000 0.0000 0.9241  4 Rh 2.51
Se 0.5000 0.5000 0.2572  4 Se 3.02, 4 Hg 3.34

Its density of states at the Fermi level is 2.07 states/eV/f.u. The calculation puts the final energy at -14.35 eV per cell. As for the space group: No. 99. The value obtained for the total magnetization is 0.00 μB per cell.

8.
Below is a relaxed structure of HgRhSe2, with properties calculated at the PBE-GGA level.

Cell lengths 4.5224, 4.3005, 5.3072 Å; angles 90.06, 90.00, 90.00 degrees
With the nearest neighbours (Å) after each atom.
Sites, in units of the cell vectors:
Hg 0.0000 0.3735 0.4956  4 Se 2.77
Rh 0.5000 0.8758 0.9868  4 Se 2.41-2.42
Se 0.0000 0.8748 0.8243  2 Rh 2.42
Se 0.5000 0.3760 0.1933  2 Rh 2.41

Its density of states at the Fermi level is 1.48 states/eV/f.u. The calculation puts the final energy at -14.99 eV per cell. As for the space group: No. 6. The value obtained for the total magnetization is 0.00 μB per cell.